No. 1
Below is a relaxed MnIn2Au crystal, with properties calculated at the PBE level.

```
MnIn2Au
1.0
4.560 -1.778 0.000
4.560 1.778 0.000
-0.920 0.000 5.102
Mn In Au
1 2 1
direct
0.000 0.000 0.000 Mn
0.248 0.248 0.752 In
0.752 0.752 0.248 In
0.500 0.500 0.500 Au
```

Properties
* density: 9.7 Mg/m³
* V: 20.7 Å³/atom
* electronic total energy: -4.3523 eV per atom
* energy of formation from the pure elements: 0.129 eV/atom

No. 2
Below is a relaxed SmY2Tm5Th crystal, with properties calculated at the PBE level.

```
SmY2Tm5Th
1.0
-4.358 4.358 7.471
4.358 -4.358 7.471
4.358 4.358 -7.471
Sm Y Tm Th
2 4 10 2
direct
0.250 0.750 0.500 Sm
0.750 0.250 0.500 Sm
0.115 0.615 0.730 Y
0.385 0.115 0.500 Y
0.615 0.885 0.500 Y
0.885 0.385 0.270 Y
0.000 0.000 0.000 Tm
0.072 0.153 0.500 Tm
0.153 0.653 0.081 Tm
0.347 0.428 0.500 Tm
0.428 0.928 0.081 Tm
0.500 0.500 0.000 Tm
0.572 0.072 0.919 Tm
0.653 0.572 0.500 Tm
0.847 0.347 0.919 Tm
0.928 0.847 0.500 Tm
0.250 0.250 0.000 Th
0.750 0.750 0.000 Th
```

Properties
* density: 8.2 Mg/m³
* V: 31.5 Å³/atom
* electronic total energy: -4.9452 eV per atom
* energy of formation from the pure elements: 0.324 eV/atom

No. 3
Below is a relaxed GePSeS2 crystal, with properties calculated at the PBE level.

```
GePSeS2
1.0
4.782 0.000 0.000
0.000 4.782 0.000
0.000 0.000 4.792
Ge P Se S
1 1 1 2
direct
0.000 0.000 0.000 Ge
0.500 0.500 0.000 P
0.500 0.500 0.500 Se
0.000 0.500 0.500 S
0.500 0.000 0.500 S
```

Properties
* density: 3.7 Mg/m³
* V: 21.9 Å³/atom
* electronic total energy: -3.5462 eV per atom
* uncorrected formation energy: 0.807 eV/atom

No. 4
Below is a relaxed SrCoBr crystal, with properties calculated at the PBE level.

```
SrCoBr
1.0
8.224 0.000 0.000
0.000 6.654 0.000
0.000 0.000 6.438
Sr Co Br
4 4 4
direct
0.250 0.250 0.250 Sr
0.250 0.750 0.750 Sr
0.750 0.250 0.250 Sr
0.750 0.750 0.750 Sr
0.000 0.250 0.637 Co
0.000 0.750 0.363 Co
0.500 0.250 0.863 Co
0.500 0.750 0.137 Co
0.000 0.000 0.000 Br
0.000 0.500 0.000 Br
0.500 0.000 0.500 Br
0.500 0.500 0.500 Br
```

Properties
* density: 4.3 Mg/m³
* V: 29.4 Å³/atom
* electronic total energy: -3.5364 eV per atom
* uncorrected formation energy: -0.050 eV/atom

No. 5
Below is a relaxed SrW2Au2 crystal, with properties calculated at the PBE level.

```
SrW2Au2
1.0
8.398 0.000 0.000
0.000 8.398 0.000
0.000 0.000 2.846
Sr W Au
2 4 4
direct
0.000 0.000 0.000 Sr
0.500 0.500 0.000 Sr
0.105 0.395 0.000 W
0.395 0.895 0.000 W
0.605 0.105 0.000 W
0.895 0.605 0.000 W
0.188 0.688 0.500 Au
0.312 0.188 0.500 Au
0.688 0.812 0.500 Au
0.812 0.312 0.500 Au
```

Properties
* density: 14.1 Mg/m³
* V: 20.1 Å³/atom
* electronic total energy: -6.3802 eV per atom
* energy of formation from the pure elements: 0.448 eV/atom

No. 6
Below is a relaxed HoB3Ir3 crystal, with properties calculated at the PBE level.

```
HoB3Ir3
1.0
7.458 0.000 0.000
0.000 7.458 0.000
0.000 0.000 7.458
Ho B Ir
4 12 12
direct
0.002 0.498 0.502 Ho
0.498 0.502 0.002 Ho
0.502 0.002 0.498 Ho
0.998 0.998 0.998 Ho
0.008 0.807 0.684 B
0.184 0.492 0.193 B
0.193 0.184 0.492 B
0.307 0.816 0.992 B
0.316 0.508 0.693 B
0.492 0.193 0.184 B
0.508 0.693 0.316 B
0.684 0.008 0.807 B
0.693 0.316 0.508 B
0.807 0.684 0.008 B
0.816 0.992 0.307 B
0.992 0.307 0.816 B
0.050 0.950 0.450 Ir
0.230 0.230 0.230 Ir
0.245 0.255 0.745 Ir
0.255 0.745 0.245 Ir
0.270 0.770 0.730 Ir
0.450 0.050 0.950 Ir
0.550 0.550 0.550 Ir
0.730 0.270 0.770 Ir
0.745 0.245 0.255 Ir
0.755 0.755 0.755 Ir
0.770 0.730 0.270 Ir
0.950 0.450 0.050 Ir
```

Properties
* density: 12.4 Mg/m³
* V: 14.8 Å³/atom
* electronic total energy: -7.6404 eV per atom
* energy of formation from the pure elements: -0.327 eV/atom

No. 7
Below is a relaxed Pr2Sm3Ho6Tm crystal, with properties calculated at the PBE level.

```
Pr2Sm3Ho6Tm
1.0
3.102 -5.370 0.000
3.102 5.370 0.000
-2.060 0.000 11.633
Pr Sm Ho Tm
2 3 6 1
direct
0.166 0.834 0.000 Pr
0.834 0.166 0.000 Pr
0.000 0.000 0.500 Sm
0.333 0.667 0.500 Sm
0.667 0.333 0.500 Sm
0.084 0.416 0.750 Ho
0.252 0.252 0.251 Ho
0.416 0.084 0.750 Ho
0.584 0.916 0.250 Ho
0.748 0.748 0.749 Ho
0.916 0.584 0.250 Ho
0.500 0.500 0.000 Tm
```

Properties
* density: 8.1 Mg/m³
* V: 32.3 Å³/atom
* electronic total energy: -4.6221 eV per atom
* energy of formation from the pure elements: 0.016 eV/atom

No. 8
Below is a relaxed LaPrSm2In crystal, with properties calculated at the PBE level.

```
LaPrSm2In
1.0
3.335 -7.716 0.000
3.335 7.716 0.000
0.000 0.000 6.730
La Pr Sm In
2 2 4 2
direct
0.248 0.752 0.750 La
0.752 0.248 0.250 La
0.344 0.656 0.250 Pr
0.656 0.344 0.750 Pr
0.242 0.242 0.000 Sm
0.242 0.242 0.500 Sm
0.758 0.758 0.000 Sm
0.758 0.758 0.500 Sm
0.148 0.852 0.250 In
0.852 0.148 0.750 In
```

Properties
* density: 6.7 Mg/m³
* V: 34.6 Å³/atom
* electronic total energy: -4.3414 eV per atom
* energy of formation from the pure elements: 0.035 eV/atom

No. 9
Below is a relaxed ErTlPb2I8 crystal, with properties calculated at the PBE level.

```
ErTlPb2I8
1.0
7.316 0.000 0.000
0.000 9.686 0.000
-0.133 0.000 7.802
Er Tl Pb I
1 1 2 8
direct
0.000 0.000 0.000 Er
0.000 0.500 0.000 Tl
0.500 0.249 0.500 Pb
0.500 0.751 0.500 Pb
0.234 0.000 0.677 I
0.244 0.220 0.152 I
0.244 0.780 0.152 I
0.265 0.500 0.638 I
0.735 0.500 0.362 I
0.756 0.220 0.848 I
0.756 0.780 0.848 I
0.766 0.000 0.323 I
```

Properties
* density: 5.4 Mg/m³
* V: 46.1 Å³/atom
* electronic total energy: -3.0808 eV per atom
* uncorrected formation energy: -0.852 eV/atom

No. 10
Below is a relaxed AcSmTm2 crystal, with properties calculated at the PBE level.

```
AcSmTm2
1.0
0.000 4.112 4.112
4.112 0.000 4.112
4.112 4.112 0.000
Ac Sm Tm
1 1 2
direct
0.000 0.000 0.000 Ac
0.500 0.500 0.500 Sm
0.250 0.250 0.250 Tm
0.750 0.750 0.750 Tm
```

Properties
* density: 8.5 Mg/m³
* V: 34.8 Å³/atom
* electronic total energy: -4.3366 eV per atom
* energy of formation from the pure elements: 0.106 eV/atom

No. 11
Below is a relaxed Tb2Ge4IrPt3 crystal, with properties calculated at the PBE level.

```
Tb2Ge4IrPt3
1.0
4.139 0.000 0.000
0.000 4.139 0.000
0.000 0.000 10.826
Tb Ge Ir Pt
2 4 1 3
direct
0.000 0.500 0.242 Tb
0.500 0.000 0.758 Tb
0.000 0.000 0.500 Ge
0.000 0.500 0.865 Ge
0.500 0.000 0.135 Ge
0.500 0.500 0.500 Ge
0.500 0.500 0.000 Ir
0.000 0.000 0.000 Pt
0.000 0.500 0.641 Pt
0.500 0.000 0.359 Pt
```

Properties
* density: 12.4 Mg/m³
* V: 18.5 Å³/atom
* electronic total energy: -6.3399 eV per atom
* energy of formation from the pure elements: -0.869 eV/atom

no.,Fermi-level density of states (states/eV per cell)
1,2.69
2,22.81
3,4.12
4,4.33
5,9.17
6,13.31
7,14.33
8,12.75
9,0.00
10,6.38
11,4.70